Record 1
VASP calculation (PBE-GGA) on a relaxed BeAuI3 crystal.

Summary:
* E above lowest polymorph: 0.275 eV per atom
* mass density: 5.4 g/cm3
* E_form (uncorrected): 0.690 eV/atom
* density of states at the Fermi level: 0.358 states/eV per atom

a = 5.663 Å, b = 5.663 Å, c = 5.663 Å
α = 90.00°, β = 90.00°, γ = 90.00°
Each line ends with the local moment (μB).
Element x y z (fractional)
I1 0.000 0.000 0.500  0.04
I2 0.500 0.000 0.000  0.03
I3 0.000 0.500 0.000  0.05
Be1 0.500 0.500 0.500  0.23
Au1 0.000 0.000 0.000  0.02


Record 2
VASP calculation (PBE-GGA) on a relaxed Ba3Ag2P3 crystal.

Summary:
* E_form: -0.64 eV/atom
* mass density: 5.4 g/cm3
* density of states at the Fermi level: 0.523 states/eV per atom

a = 4.622 Å, b = 6.353 Å, c = 16.149 Å
α = 90.00°, β = 90.00°, γ = 111.33°
Each line ends with the local moment (μB).
Element x y z (fractional)
P1 0.738 0.477 0.750  0.01
P2 0.566 0.133 0.450  0.00
P3 0.434 0.867 0.950  0.00
P4 0.434 0.867 0.550  0.00
P5 0.566 0.133 0.050  0.00
P6 0.262 0.523 0.250  0.01
Ba1 0.553 0.105 0.250  0.06
Ba2 0.153 0.306 0.599  0.04
Ba3 0.847 0.694 0.401  0.04
Ba4 0.153 0.306 0.901  0.04
Ba5 0.847 0.694 0.099  0.04
Ba6 0.447 0.895 0.750  0.06
Ag1 0.135 0.270 0.113  0.01
Ag2 0.135 0.270 0.387  0.01
Ag3 0.865 0.730 0.887  0.01
Ag4 0.865 0.730 0.613  0.01


Question: density of states at the Fermi level of number 1 (BeAuI3)?
Answer: 0.358 states/eV per atom


Question: What is the formula in the first record?
Answer: BeAuI3


Repeat the first record exactly.
VASP calculation (PBE-GGA) on a relaxed BeAuI3 crystal.

Summary:
* E above lowest polymorph: 0.275 eV per atom
* mass density: 5.4 g/cm3
* E_form (uncorrected): 0.690 eV/atom
* density of states at the Fermi level: 0.358 states/eV per atom

a = 5.663 Å, b = 5.663 Å, c = 5.663 Å
α = 90.00°, β = 90.00°, γ = 90.00°
Each line ends with the local moment (μB).
Element x y z (fractional)
I1 0.000 0.000 0.500  0.04
I2 0.500 0.000 0.000  0.03
I3 0.000 0.500 0.000  0.05
Be1 0.500 0.500 0.500  0.23
Au1 0.000 0.000 0.000  0.02